[1]
The following is a PBE calculation of crystalline Ac2InCuO6 at its relaxed geometry, from Alexandria.

POSCAR file:
```
Ac2InCuO6
1.0
5.719 0.000 0.000
0.000 5.556 0.000
-4.993 0.000 9.116
Ac In Cu O
4 2 2 12
Direct
0.222 0.024 0.239
0.222 0.476 0.739
0.778 0.524 0.261
0.778 0.976 0.761
0.500 0.000 0.000
0.500 0.500 0.500
0.000 0.000 0.500
0.000 0.500 0.000
0.153 0.243 0.947
0.153 0.257 0.447
0.184 0.715 0.939
0.184 0.785 0.439
0.362 0.013 0.774
0.362 0.487 0.274
0.638 0.513 0.726
0.638 0.987 0.226
0.816 0.215 0.561
0.816 0.285 0.061
0.847 0.743 0.553
0.847 0.757 0.053
```

=====

[2]
The following is a PBE calculation of crystalline AcIn2CuPd2 at its relaxed geometry, from Alexandria.

POSCAR file:
```
AcIn2CuPd2
1.0
5.247 0.000 0.000
0.000 5.247 0.000
0.000 0.000 11.161
Ac In Cu Pd
2 4 2 4
Direct
0.000 0.000 0.000
0.500 0.500 0.500
0.000 0.500 0.250
0.000 0.500 0.750
0.500 0.000 0.250
0.500 0.000 0.750
0.000 0.000 0.500
0.500 0.500 0.000
0.000 0.000 0.279
0.000 0.000 0.721
0.500 0.500 0.221
0.500 0.500 0.779
```

Calculated values
- Energy relative to the elements: -5.4 kcal/mol of atoms

=====

[3]
The following is a PBE calculation of crystalline AcInCuPd at its relaxed geometry, from Alexandria.

POSCAR file:
```
AcInCuPd
1.0
7.162 0.000 0.000
0.000 7.162 0.000
0.000 0.000 7.162
Ac In Cu Pd
4 4 4 4
Direct
0.000 0.000 0.000
0.000 0.500 0.500
0.500 0.000 0.500
0.500 0.500 0.000
0.000 0.000 0.500
0.000 0.500 0.000
0.500 0.000 0.000
0.500 0.500 0.500
0.250 0.250 0.750
0.250 0.750 0.250
0.750 0.250 0.250
0.750 0.750 0.750
0.250 0.250 0.250
0.250 0.750 0.750
0.750 0.250 0.750
0.750 0.750 0.250
```

Calculated values
- Energy relative to the elements: -8.7 kcal/mol of atoms

=====

[4]
The following is a PBE calculation of crystalline AcInCuPd at its relaxed geometry, from Alexandria.

POSCAR file:
```
AcInCuPd
1.0
8.070 0.000 0.000
0.000 4.659 0.000
-2.681 0.000 5.094
Ac In Cu Pd
2 2 2 2
Direct
0.000 0.000 0.000
0.500 0.500 0.000
0.496 0.000 0.488
0.996 0.500 0.488
0.298 0.500 0.394
0.798 0.000 0.394
0.205 0.000 0.615
0.705 0.500 0.615
```

Calculated values
- Energy relative to the elements: -11.3 kcal/mol of atoms

=====

[5]
The following is a PBE calculation of crystalline Ac2InCu2Pd5 at its relaxed geometry, from Alexandria.

POSCAR file:
```
Ac2InCu2Pd5
1.0
9.985 0.000 0.000
0.000 9.985 0.000
0.000 0.000 3.935
Ac In Cu Pd
4 2 4 10
Direct
0.177 0.323 0.000
0.323 0.823 0.000
0.677 0.177 0.000
0.823 0.677 0.000
0.000 0.000 0.000
0.500 0.500 0.000
0.120 0.620 0.000
0.380 0.120 0.000
0.620 0.880 0.000
0.880 0.380 0.000
0.000 0.500 0.500
0.064 0.790 0.500
0.210 0.064 0.500
0.290 0.564 0.500
0.436 0.290 0.500
0.500 0.000 0.500
0.564 0.710 0.500
0.710 0.436 0.500
0.790 0.936 0.500
0.936 0.210 0.500
```

Calculated values
- Energy relative to the elements: -14.1 kcal/mol of atoms

=====

[6]
The following is a PBE calculation of crystalline AcInCuPd2 at its relaxed geometry, from Alexandria.

POSCAR file:
```
AcInCuPd2
1.0
2.910 -6.800 0.000
2.910 6.800 0.000
0.000 0.000 5.659
Ac In Cu Pd
2 2 2 4
Direct
0.250 0.750 0.759
0.750 0.250 0.241
0.250 0.250 0.500
0.750 0.750 0.500
0.000 0.000 0.000
0.500 0.500 0.000
0.149 0.851 0.271
0.351 0.649 0.271
0.649 0.351 0.729
0.851 0.149 0.729
```

Calculated values
- Energy relative to the elements: -9.5 kcal/mol of atoms

=====

Number 1: electronic total energy -6.668 eV/atom. Number 2: electronic total energy -4.245 eV/atom. Number 3: electronic total energy -4.411 eV/atom. Number 4: electronic total energy -4.523 eV/atom. Number 5: electronic total energy -5.121 eV/atom. Number 6: electronic total energy -4.679 eV/atom.